Arrangement P

! PuFeC (PBE, relaxed); values from VASP
! spin magnetization	2.91	μB per cell
! space-group type	P-6m2 (187)
&SYSTEM
  ibrav = 0, nat = 3, ntyp = 3
/
ATOMIC_SPECIES
Pu 244.00 Pu.upf
Fe 55.84 Fe.upf
C 12.01 C.upf
CELL_PARAMETERS angstrom
3.557 0.000 0.000
-1.778 3.080 0.000
0.000 0.000 3.661
ATOMIC_POSITIONS crystal
Pu 0.000 0.000 0.000
Fe 0.667 0.333 0.500
C 0.333 0.667 0.500

Arrangement Q

! PuFeC (PBE, relaxed); values from VASP
! spin magnetization	12.14	μB per cell
! space-group type	Pnma (62)
&SYSTEM
  ibrav = 0, nat = 12, ntyp = 3
/
ATOMIC_SPECIES
Pu 244.00 Pu.upf
Fe 55.84 Fe.upf
C 12.01 C.upf
CELL_PARAMETERS angstrom
5.898 0.000 0.000
0.000 3.804 0.000
0.000 0.000 7.629
ATOMIC_POSITIONS crystal
Pu 0.130 0.250 0.149
Pu 0.370 0.750 0.649
Pu 0.630 0.250 0.351
Pu 0.870 0.750 0.851
Fe 0.030 0.750 0.402
Fe 0.470 0.250 0.902
Fe 0.530 0.750 0.098
Fe 0.970 0.250 0.598
C 0.160 0.250 0.810
C 0.340 0.750 0.310
C 0.660 0.250 0.690
C 0.840 0.750 0.190

Last place for stability: arrangement Q

Arrangement P

! PuFeC (PBE, relaxed); values from VASP
! spin magnetization	8.09	μB per cell
! space-group type	P2_1/m (11)
&SYSTEM
  ibrav = 0, nat = 6, ntyp = 3
/
ATOMIC_SPECIES
Pu 244.00 Pu.upf
Fe 55.84 Fe.upf
C 12.01 C.upf
CELL_PARAMETERS angstrom
5.068 0.000 0.000
0.000 3.560 0.000
-1.991 0.000 4.761
ATOMIC_POSITIONS crystal
Pu 0.181 0.250 0.311
Pu 0.819 0.750 0.689
Fe 0.393 0.750 0.841
Fe 0.607 0.250 0.159
C 0.235 0.250 0.824
C 0.765 0.750 0.176

Arrangement Q

! PuFeC (PBE, relaxed); values from VASP
! spin magnetization	7.09	μB per cell
! space-group type	Pm (6)
&SYSTEM
  ibrav = 0, nat = 12, ntyp = 3
/
ATOMIC_SPECIES
Pu 244.00 Pu.upf
Fe 55.84 Fe.upf
C 12.01 C.upf
CELL_PARAMETERS angstrom
6.119 0.000 0.000
0.000 3.368 0.000
-2.784 0.000 7.988
ATOMIC_POSITIONS crystal
Pu 0.000 0.000 0.000
Pu 0.101 0.500 0.636
Pu 0.431 0.500 0.358
Pu 0.591 0.000 0.578
Fe 0.416 0.000 0.016
Fe 0.568 0.500 0.861
Fe 0.710 0.500 0.160
Fe 0.967 0.000 0.340
C 0.032 0.500 0.257
C 0.406 0.000 0.789
C 0.635 0.000 0.242
C 0.815 0.500 0.774

Last place for stability: arrangement Q

Arrangement P

! RbFe2C2 (PBE, relaxed); values from VASP
! spin magnetization	8.57	μB per cell
! space-group type	P4/mbm (127)
&SYSTEM
  ibrav = 0, nat = 10, ntyp = 3
/
ATOMIC_SPECIES
Rb 85.47 Rb.upf
Fe 55.84 Fe.upf
C 12.01 C.upf
CELL_PARAMETERS angstrom
7.835 0.000 0.000
0.000 7.835 0.000
0.000 0.000 2.986
ATOMIC_POSITIONS crystal
Rb 0.000 0.000 0.000
Rb 0.500 0.500 0.000
Fe 0.102 0.398 0.500
Fe 0.398 0.898 0.500
Fe 0.602 0.102 0.500
Fe 0.898 0.602 0.500
C 0.067 0.567 0.000
C 0.433 0.067 0.000
C 0.567 0.933 0.000
C 0.933 0.433 0.000

Arrangement Q

! RbFe2C2 (PBE, relaxed); values from VASP
! spin magnetization	2.04	μB per cell
! space-group type	I4/mmm (139)
&SYSTEM
  ibrav = 0, nat = 10, ntyp = 3
/
ATOMIC_SPECIES
Rb 85.47 Rb.upf
Fe 55.84 Fe.upf
C 12.01 C.upf
CELL_PARAMETERS angstrom
3.521 0.000 0.000
0.000 3.521 0.000
0.000 0.000 12.224
ATOMIC_POSITIONS crystal
Rb 0.000 0.000 0.000
Rb 0.500 0.500 0.500
Fe 0.000 0.500 0.250
Fe 0.000 0.500 0.750
Fe 0.500 0.000 0.250
Fe 0.500 0.000 0.750
C 0.000 0.000 0.307
C 0.000 0.000 0.693
C 0.500 0.500 0.193
C 0.500 0.500 0.807

Last place for stability: arrangement P